(1)
## Nb2MoI (GGA-PBE)

Data for Nb2MoI after structural relaxation.

Output
Its spin magnetization is 0.29 μB per formula unit. The total energy comes out at -7.110 eV per atom. As for the density: 8.4 Mg/m³.

```
data_Nb2MoI
_chemical_formula_sum 'Nb8 Mo4 I4'
_space_group_name_H-M_alt 'I -4 2 d'
_space_group_IT_number 122
_space_group_name_Hall 'I -4 2bw'
_cell_length_a 4.036
_cell_length_b 4.036
_cell_length_c 19.767
_cell_angle_alpha 90.00
_cell_angle_beta 90.00
_cell_angle_gamma 90.00
loop_
_atom_site_label
_atom_site_type_symbol
_atom_site_fract_x
_atom_site_fract_y
_atom_site_fract_z
Nb1 Nb 0.248 0.250 0.125
Mo1 Mo 0.000 0.000 0.500
I1 I 0.000 0.000 0.000
```

(2)
## Hf2ZrHPd (GGA-PBE)

Data for Hf2ZrHPd after structural relaxation.

Output
Its spin magnetization is 0.00 μB per formula unit. The total energy comes out at -7.676 eV per atom. As for the density: 11.2 Mg/m³.

```
data_Hf2ZrHPd
_chemical_formula_sum 'Hf2 Zr1 H1 Pd1'
_space_group_name_H-M_alt 'P 4/m m m'
_space_group_IT_number 123
_space_group_name_Hall '-P 4 2'
_cell_length_a 4.458
_cell_length_b 4.458
_cell_length_c 4.164
_cell_angle_alpha 90.00
_cell_angle_beta 90.00
_cell_angle_gamma 90.00
loop_
_atom_site_label
_atom_site_type_symbol
_atom_site_fract_x
_atom_site_fract_y
_atom_site_fract_z
Hf1 Hf 0.000 0.500 0.000
Zr1 Zr 0.000 0.000 0.500
H1 H 0.000 0.000 0.000
Pd1 Pd 0.500 0.500 0.500
```

(3)
## Li2ZnAs (GGA-PBE)

Data for Li2ZnAs after structural relaxation.

Output
The formation energy from the elements is -140 kJ/mol of formula units. Its spin magnetization is 0.00 μB per formula unit. The total energy comes out at -2.801 eV per atom. As for the density: 4.2 Mg/m³.

```
data_Li2ZnAs
_chemical_formula_sum 'Li4 Zn2 As2'
_space_group_name_H-M_alt 'C m m m'
_space_group_IT_number 65
_space_group_name_Hall '-C 2 2'
_cell_length_a 6.364
_cell_length_b 6.390
_cell_length_c 3.022
_cell_angle_alpha 90.00
_cell_angle_beta 90.00
_cell_angle_gamma 90.00
loop_
_atom_site_label
_atom_site_type_symbol
_atom_site_fract_x
_atom_site_fract_y
_atom_site_fract_z
Li1 Li 0.250 0.250 0.000
Zn1 Zn 0.000 0.000 0.500
As1 As 0.000 0.500 0.500
```

(4)
## FeCCl3 (GGA-PBE)

Data for FeCCl3 after structural relaxation.

Output
Its spin magnetization is 4.04 μB per formula unit. The total energy comes out at -3.454 eV per atom. As for the density: 2.8 Mg/m³.

```
data_FeCCl3
_chemical_formula_sum 'Fe1 C1 Cl3'
_space_group_name_H-M_alt 'P m -3 m'
_space_group_IT_number 221
_space_group_name_Hall '-P 4 2 3'
_cell_length_a 4.718
_cell_length_b 4.718
_cell_length_c 4.718
_cell_angle_alpha 90.00
_cell_angle_beta 90.00
_cell_angle_gamma 90.00
loop_
_atom_site_label
_atom_site_type_symbol
_atom_site_fract_x
_atom_site_fract_y
_atom_site_fract_z
Fe1 Fe 0.000 0.000 0.000
C1 C 0.500 0.500 0.500
Cl1 Cl 0.000 0.000 0.500
```